# 1
Crystalline Na3Ce2NdTe6 at its relaxed geometry, computed with GGA-PBE.

Calculated values
size of the total moment	0.168	μB per atom
theoretical density	5.122	g/cm3
ΔE_f (raw)	-1.28	eV per atom
space-group type	C2/m, No. 12

```
12
Lattice="-7.082 -2.386 2.613 5.476 -5.344 -2.030 3.142 2.568 6.860" Properties=species:S:1:pos:R:3 pbc="T T T"
Na 4.959 -3.569 2.172
Na -3.423 -1.594 5.271
Na 0.768 -2.581 3.722
Ce 1.291 -4.358 -0.483
Ce -2.897 -3.372 1.066
Nd 0.000 0.000 0.000
Te -0.911 -3.381 6.429
Te -0.447 -5.159 2.078
Te 2.447 -1.781 1.015
Te 3.268 -4.366 4.883
Te 1.983 -0.003 5.365
Te -1.732 -0.796 2.560
```

---

# 2
Crystalline NaCe3Nd4Te8 at its relaxed geometry, computed with GGA-PBE.

Calculated values
size of the total moment	0.234	μB per atom
theoretical density	6.565	g/cm3
ΔE_f (raw)	-1.38	eV per atom
space-group type	R-3m, No. 166

```
16
Lattice="-0.149 4.002 -8.050 4.306 -7.063 -3.592 -7.659 -1.254 4.540" Properties=species:S:1:pos:R:3 pbc="T T T"
Na 2.153 -3.532 -1.796
Ce 2.078 -1.530 -5.821
Ce -1.751 -2.158 -3.551
Ce -1.677 -4.159 0.474
Nd -0.075 2.001 -4.025
Nd -3.904 1.374 -1.755
Nd 0.000 0.000 0.000
Nd -3.830 -0.627 2.270
Te -4.476 -5.545 -0.142
Te -0.615 -4.912 -2.431
Te -2.791 -1.395 -0.642
Te -4.551 -3.527 -4.201
Te 1.048 -0.788 -2.901
Te -0.712 -2.920 -6.460
Te -2.888 0.597 -4.671
Te 0.973 1.229 -6.960
```

---

# 3
Crystalline NaCe2Nd3Te6 at its relaxed geometry, computed with GGA-PBE.

Calculated values
size of the total moment	0.201	μB per atom
theoretical density	6.429	g/cm3
ΔE_f (raw)	-1.38	eV per atom
space-group type	C2/m, No. 12

```
12
Lattice="4.475 0.000 0.000 0.000 9.064 0.306 -2.238 -2.630 9.473" Properties=species:S:1:pos:R:3 pbc="T T T"
Na 2.238 0.000 0.000
Ce 2.238 4.278 6.499
Ce 0.000 2.156 3.280
Nd 2.238 4.532 0.153
Nd 2.238 -0.195 6.386
Nd 0.000 6.629 3.393
Te 0.000 6.572 6.611
Te 2.238 4.401 3.322
Te 2.238 -0.138 3.168
Te 0.000 2.248 0.096
Te 2.238 4.186 9.683
Te 0.000 2.033 6.457
```

---

# 4
Crystalline NaCe4Nd3Te8 at its relaxed geometry, computed with GGA-PBE.

Calculated values
size of the total moment	0.327	μB per atom
theoretical density	6.545	g/cm3
ΔE_f (raw)	-1.37	eV per atom
space-group type	R-3m, No. 166

```
16
Lattice="8.982 0.000 0.000 0.000 9.035 0.034 -4.491 -4.489 6.352" Properties=species:S:1:pos:R:3 pbc="T T T"
Na 0.000 4.517 0.017
Ce 4.491 0.000 0.000
Ce 2.245 -2.245 3.176
Ce 0.000 0.000 0.000
Ce -2.245 -2.245 3.176
Nd 4.491 4.517 0.017
Nd 2.245 2.273 3.193
Nd -2.245 2.273 3.193
Te -2.265 2.266 6.376
Te 0.000 4.529 3.175
Te 0.000 0.013 3.183
Te 2.265 2.266 6.376
Te 2.226 2.279 0.010
Te 4.491 4.533 3.203
Te 4.491 0.016 3.211
Te 6.756 2.279 0.010
```

---

# 5
Crystalline NaCeNd2Te4 at its relaxed geometry, computed with GGA-PBE.

Calculated values
size of the total moment	0.159	μB per atom
theoretical density	6.142	g/cm3
ΔE_f (raw)	-1.37	eV per atom
space-group type	P2/m, No. 10

```
8
Lattice="-1.931 -1.228 3.860 7.019 -1.717 2.965 -1.682 7.514 1.549" Properties=species:S:1:pos:R:3 pbc="T T T"
Na 0.000 0.000 0.000
Ce 2.544 -1.472 3.413
Nd -1.806 3.143 2.704
Nd 2.669 2.898 2.257
Te 0.364 0.834 3.055
Te 3.043 3.735 5.319
Te 0.480 5.220 1.901
Te 4.858 0.577 2.614
```

---

# 6
Crystalline Na3CeNd2Te6 at its relaxed geometry, computed with GGA-PBE.

Calculated values
size of the total moment	0.084	μB per atom
theoretical density	5.149	g/cm3
ΔE_f (raw)	-1.30	eV per atom
space-group type	C2/m, No. 12

```
12
Lattice="-0.326 -6.363 -4.664 5.487 5.538 -1.255 3.005 -3.358 6.599" Properties=species:S:1:pos:R:3 pbc="T T T"
Na 6.018 1.869 1.475
Na 2.148 -6.053 -0.795
Na 4.083 -2.092 0.340
Ce 0.000 0.000 0.000
Nd 3.549 1.569 -2.392
Nd 1.612 -2.395 -3.527
Te 5.201 -5.163 -0.009
Te 4.571 -1.422 -2.832
Te 2.964 0.979 0.689
Te 7.143 -1.188 1.130
Te 3.595 -2.762 3.512
Te 1.023 -2.996 -0.450
```

---

# 7
Crystalline NaCeNi4 at its relaxed geometry, computed with GGA-PBE.

Calculated values
size of the total moment	0.000	μB per atom
theoretical density	7.479	g/cm3
space-group type	F-43m, No. 216
energy of formation from the pure elements	-171	meV/atom

```
6
Lattice="4.999 0.000 0.000 2.500 4.329 0.000 2.500 1.443 4.082" Properties=species:S:1:pos:R:3 pbc="T T T"
Ni 4.999 2.886 0.504
Ni 4.999 1.437 2.553
Ni 6.254 3.611 2.553
Ni 3.744 3.611 2.553
Ce 2.500 1.443 1.020
Na 0.000 0.000 0.000
```

---

# 8
Crystalline NaCe2Ni at its relaxed geometry, computed with GGA-PBE.

Calculated values
size of the total moment	0.491	μB per atom
theoretical density	5.038	g/cm3
space-group type	R-3m, No. 166
energy of formation from the pure elements	122	meV/atom

```
4
Lattice="-2.145 -2.284 1.728 1.028 -3.391 0.498 4.209 0.870 10.077" Properties=species:S:1:pos:R:3 pbc="T T T"
Ni 1.546 -2.402 6.152
Ce 2.675 -0.055 6.951
Ce 0.417 -4.750 5.352
Na 0.000 0.000 0.000
```